Entry 1:
Material: SrRu2F
Method: DFT, GGA-PBE
State: optimized geometry

Unit cell a=4.680 b=4.680 c=4.680 alpha=60.00 beta=60.00 gamma=60.00
Each line ends with the local moment (μB).
Positions (direct):
1 Sr 0.500 0.500 0.500  -0.04
2 F 0.000 0.000 0.000  0.09
3 Ru 0.250 0.250 0.250  1.69
4 Ru 0.750 0.750 0.750  1.69

Energy above the most stable polymorph in this dataset (kJ/mol of atoms): 70.07
Symmetry: No. 225

Entry 2:
Material: Sr2Ru2F
Method: DFT, GGA-PBE
State: optimized geometry

Unit cell a=3.614 b=3.614 c=8.940 alpha=78.34 beta=78.34 gamma=90.00
Each line ends with the local moment (μB).
Positions (direct):
1 Sr 0.605 0.605 0.790  0.00
2 Sr 0.395 0.395 0.210  0.00
3 Ru 0.250 0.750 0.500  0.13
4 Ru 0.750 0.250 0.500  0.13
5 F 0.000 0.000 0.000  0.00

Energy above the most stable polymorph in this dataset (kJ/mol of atoms): 0.00
Symmetry: No. 139

Entry 3:
Material: SrRuF5
Method: DFT, GGA-PBE
State: optimized geometry

Unit cell a=5.908 b=5.908 c=8.168 alpha=95.75 beta=113.41 gamma=108.20
Each line ends with the local moment (μB).
Positions (direct):
1 F 0.131 0.794 0.884  0.04
2 F 0.332 0.082 0.250  0.02
3 F 0.668 0.918 0.750  0.02
4 F 0.589 0.753 0.384  0.04
5 F 0.252 0.303 0.972  0.01
6 F 0.411 0.247 0.616  0.04
7 F 0.170 0.720 0.472  0.01
8 F 0.869 0.206 0.116  0.04
9 F 0.748 0.697 0.028  0.01
10 F 0.830 0.280 0.528  0.01
11 Ru 0.000 0.000 0.000  0.82
12 Ru 0.500 0.000 0.500  0.82
13 Sr 0.706 0.456 0.250  0.00
14 Sr 0.294 0.544 0.750  0.00

Symmetry: No. 15

Entry 4:
Material: SrRu2F
Method: DFT, GGA-PBE
State: optimized geometry

Unit cell a=4.623 b=4.623 c=8.923 alpha=74.99 beta=74.99 gamma=90.00
Positions (direct):
1 F 0.500 0.500 0.000
2 F 0.250 0.750 0.500
3 Ru 0.356 0.125 0.250
4 Ru 0.394 0.625 0.250
5 Ru 0.375 0.644 0.750
6 Ru 0.875 0.606 0.750
7 Sr 0.000 0.000 0.000
8 Sr 0.750 0.250 0.500

Energy above the most stable polymorph in this dataset (kJ/mol of atoms): 0.00
Symmetry: No. 122

Entry 5:
Material: SrTc2RuF
Method: DFT, GGA-PBE
State: optimized geometry

Unit cell a=4.959 b=4.153 c=4.959 alpha=90.00 beta=90.00 gamma=90.00
Positions (direct):
1 Tc 0.500 0.000 0.000
2 Tc 0.000 0.000 0.500
3 Ru 0.500 0.500 0.500
4 F 0.000 0.500 0.000
5 Sr 0.000 0.000 0.000

Energy above the most stable polymorph in this dataset (kJ/mol of atoms): 130.17
Symmetry: No. 123

Entry 6:
Material: SrTc2RuF
Method: DFT, GGA-PBE
State: optimized geometry

Unit cell a=4.597 b=6.499 c=4.597 alpha=90.00 beta=90.00 gamma=90.00
Each line ends with the local moment (μB).
Positions (direct):
1 Tc 0.000 0.000 0.500  1.69
2 Tc 0.500 0.000 0.000  1.71
3 Sr 0.000 0.500 0.000  0.01
4 Ru 0.000 0.000 0.000  0.10
5 F 0.500 0.500 0.500  0.03

Energy above the most stable polymorph in this dataset (kJ/mol of atoms): 0.00
Symmetry: No. 123

Number 1: DFT total energy -4.575 eV per atom, raw formation energy 0.9509 eV/atom. Number 2: DFT total energy -5.360 eV per atom, raw formation energy -0.6028 eV/atom. Number 3: DFT total energy -5.477 eV per atom, raw formation energy -2.5748 eV/atom. Number 4: DFT total energy -5.302 eV per atom, raw formation energy 0.2247 eV/atom. Number 5: DFT total energy -4.769 eV per atom, raw formation energy 1.9428 eV/atom. Number 6: DFT total energy -6.119 eV per atom, raw formation energy 0.5936 eV/atom.